Entry from Alexandria: crystalline Tb3SOF5 at its relaxed geometry (GGA-PBE).

Unit cell a=9.435 b=3.694 c=9.492 alpha=90.00 beta=119.51 gamma=90.00
Element x y z (fractional)
1 Tb 0.000 0.000 0.000
2 Tb 0.105 0.500 0.687
3 Tb 0.272 0.500 0.374
4 Tb 0.527 0.000 0.817
5 Tb 0.701 0.000 0.506
6 Tb 0.822 0.500 0.237
7 S 0.077 0.000 0.441
8 S 0.733 0.500 0.770
9 O 0.021 0.500 0.155
10 O 0.841 0.500 0.490
11 F 0.129 0.500 0.940
12 F 0.259 0.000 0.221
13 F 0.283 0.000 0.818
14 F 0.357 0.500 0.669
15 F 0.449 0.000 0.536
16 F 0.517 0.500 0.377
17 F 0.562 0.500 0.982
18 F 0.676 0.000 0.252
19 F 0.782 0.000 0.055
20 F 0.973 0.000 0.728

Properties
**Electronic total energy**: -6.972 eV per atom
**DOS(E_F)**: 0.00 states/eV/atom
**Total magnetization**: 0.00 μB/atom
**Calculated density**: 7151 kg/m³